# 1
The following is a PBE-GGA calculation of an optimized crystal structure of Zr2NiP, from the Alexandria database.

Values from the calculation:
theoretical density: 6.7 g cm⁻³
volume: 67 Å³/cell
ΔH_f (0 K): -0.638 eV/atom
size of the total moment: 0.0 μB per formula unit
E: -7.710 eV/atom

abc: 4.5256 4.5256 3.3351
angles: 90.00 90.00 101.46
Fractional coordinates of all 4 atoms:
Zr1 0.5000 0.0000 0.0000
Zr2 0.0000 0.5000 0.0000
P1 0.0000 0.0000 0.5000
Ni1 0.5000 0.5000 0.5000



# 2
The following is a PBE-GGA calculation of an optimized crystal structure of Al2Cr2In, from the Alexandria database.

Values from the calculation:
theoretical density: 6.1 g cm⁻³
volume: 150 Å³/cell
ΔH_f (0 K): 0.281 eV/atom
size of the total moment: 0.0 μB per formula unit
E: -5.613 eV/atom

abc: 6.9371 6.9371 3.1107
angles: 90.00 90.00 90.00
Fractional coordinates of all 10 atoms:
Al1 0.6268 0.1268 0.0000
Al2 0.3732 0.8732 0.0000
Al3 0.1268 0.3732 0.0000
Al4 0.8732 0.6268 0.0000
In1 0.5000 0.5000 0.0000
In2 0.0000 0.0000 0.0000
Cr1 0.1683 0.6683 0.5000
Cr2 0.8317 0.3317 0.5000
Cr3 0.6683 0.8317 0.5000
Cr4 0.3317 0.1683 0.5000



# 3
The following is a PBE-GGA calculation of an optimized crystal structure of NdSm6HoTm2, from the Alexandria database.

Values from the calculation:
theoretical density: 7.7 g cm⁻³
volume: 665 Å³/cell
ΔH_f (0 K): 0.118 eV/atom
size of the total moment: 0.0 μB per formula unit
E: -4.543 eV/atom

abc: 9.5604 8.8640 8.8640
angles: 116.97 93.41 93.41
Fractional coordinates of all 20 atoms:
Sm1 0.3828 0.5156 0.2936
Sm2 0.8165 0.4409 0.9909
Sm3 0.5555 0.7588 0.1155
Sm4 0.6835 0.0091 0.5591
Sm5 0.1835 0.5591 0.0091
Sm6 0.4445 0.2412 0.8845
Sm7 0.0555 0.1155 0.7588
Sm8 0.8828 0.2936 0.5156
Sm9 0.6172 0.4844 0.7064
Sm10 0.3165 0.9909 0.4409
Sm11 0.1172 0.7064 0.4844
Sm12 0.9445 0.8845 0.2412
Tm1 0.0491 0.3018 0.2029
Tm2 0.9509 0.6982 0.7971
Tm3 0.5491 0.2029 0.3018
Tm4 0.4509 0.7971 0.6982
Nd1 0.7500 0.0305 0.9695
Nd2 0.2500 0.9695 0.0305
Ho1 0.7500 0.5894 0.4106
Ho2 0.2500 0.4106 0.5894



# 4
The following is a PBE-GGA calculation of an optimized crystal structure of Lu2AlCd, from the Alexandria database.

Values from the calculation:
theoretical density: 8.7 g cm⁻³
volume: 93 Å³/cell
ΔH_f (0 K): -0.343 eV/atom
size of the total moment: 0.0 μB per formula unit
E: -3.768 eV/atom

abc: 3.5703 3.5703 7.3247
angles: 90.00 90.00 90.00
Fractional coordinates of all 4 atoms:
Lu1 0.0000 0.0000 0.2386
Lu2 0.0000 0.0000 0.7614
Cd1 0.5000 0.5000 0.5000
Al1 0.5000 0.5000 0.0000



- Which value of volume does entry 1 give?
  67 Å³/cell